(w)
# PrDy9Sc2, relaxed, DFT PBE-GGA
# **Total moment**: 0.000 μB per atom
# **Density of states at the Fermi level**: 1.553 states/eV/atom
data_PrDy9Sc2
_chemical_formula_sum 'Pr1 Dy9 Sc2'
_space_group_name_H-M_alt 'P 4/m m m'
_space_group_IT_number 123
_space_group_name_Hall '-P 4 2'
_cell_length_a 4.971
_cell_length_b 4.971
_cell_length_c 14.879
_cell_angle_alpha 90.00
_cell_angle_beta 90.00
_cell_angle_gamma 90.00
loop_
_atom_site_label
_atom_site_fract_x
_atom_site_fract_y
_atom_site_fract_z
Pr1 0.000 0.000 0.000
Dy1 0.000 0.500 0.174
Dy2 0.000 0.500 0.500
Dy3 0.500 0.500 0.000
Dy4 0.500 0.500 0.338
Sc1 0.000 0.000 0.337

***

(x)
# PrDy9Sc2, relaxed, DFT PBE-GGA
# **Total moment**: 0.000 μB per atom
# **Density of states at the Fermi level**: 1.263 states/eV/atom
data_PrDy9Sc2
_chemical_formula_sum 'Pr1 Dy9 Sc2'
_space_group_name_H-M_alt 'P 6/m m m'
_space_group_IT_number 191
_space_group_name_Hall '-P 6 2'
_cell_length_a 11.0783
_cell_length_b 11.0783
_cell_length_c 3.4829
_cell_angle_alpha 90.00
_cell_angle_beta 90.00
_cell_angle_gamma 120.00
loop_
_atom_site_label
_atom_site_fract_x
_atom_site_fract_y
_atom_site_fract_z
Pr1 0.0000 0.0000 0.0000
Dy1 0.0000 0.5000 0.0000
Dy2 0.1808 0.3617 0.5000
Sc1 0.3333 0.6667 0.0000

***

Which of them is most stable? Easy: (x).

***

(w)
# PrDySc4, relaxed, DFT PBE-GGA
# **Total moment**: 0.002 μB per atom
# **Density of states at the Fermi level**: 2.020 states/eV/atom
data_PrDySc4
_chemical_formula_sum 'Pr2 Dy2 Sc8'
_space_group_name_H-M_alt 'P m m n'
_space_group_IT_number 59
_cell_length_a 5.361
_cell_length_b 10.282
_cell_length_c 5.992
_cell_angle_alpha 90.00
_cell_angle_beta 90.00
_cell_angle_gamma 90.00
loop_
_space_group_symop_operation_xyz
'x,y,z'
'-x,-y,-z'
'-x+1/2,-y+1/2,z'
'x+1/2,y+1/2,-z'
'x+1/2,-y,-z'
'-x+1/2,y,z'
'-x,y+1/2,-z'
'x,-y+1/2,z'
loop_
_atom_site_label
_atom_site_fract_x
_atom_site_fract_y
_atom_site_fract_z
Pr1 0.250 0.250 0.074
Dy1 0.250 0.750 0.575
Sc1 0.250 0.078 0.589
Sc2 0.250 0.579 0.090

***

(x)
# PrDySc4, relaxed, DFT PBE-GGA
# **Total moment**: 0.000 μB per atom
# **Density of states at the Fermi level**: 1.687 states/eV/atom
data_PrDySc4
_chemical_formula_sum 'Pr4 Dy4 Sc16'
_space_group_name_H-M_alt 'C m c m'
_space_group_IT_number 63
_space_group_name_Hall '-C 2c 2'
_cell_length_a 6.577
_cell_length_b 18.602
_cell_length_c 5.362
_cell_angle_alpha 90.00
_cell_angle_beta 90.00
_cell_angle_gamma 90.00
loop_
_atom_site_label
_atom_site_fract_x
_atom_site_fract_y
_atom_site_fract_z
Pr1 0.000 0.123 0.250
Dy1 0.000 0.373 0.750
Sc1 0.245 0.458 0.250
Sc2 0.249 0.291 0.250

***

Which of them is most stable? Easy: (w).

***

(w)
# Pr3Dy4Sc2, relaxed, DFT PBE-GGA
# **Total moment**: 0.000 μB per atom
# **Density of states at the Fermi level**: 1.412 states/eV/atom
data_Pr3Dy4Sc2
_chemical_formula_sum 'Pr6 Dy8 Sc4'
_space_group_name_H-M_alt 'C 1 2/m 1'
_space_group_IT_number 12
_space_group_name_Hall '-C 2y'
_cell_length_a 16.939
_cell_length_b 3.516
_cell_length_c 9.661
_cell_angle_alpha 90.00
_cell_angle_beta 100.02
_cell_angle_gamma 90.00
loop_
_atom_site_label
_atom_site_fract_x
_atom_site_fract_y
_atom_site_fract_z
Pr1 0.000 0.000 0.000
Pr2 0.158 0.000 0.590
Dy1 0.014 0.500 0.324
Dy2 0.175 0.000 0.226
Sc1 0.168 0.500 0.924

***

(x)
# Pr3Dy4Sc2, relaxed, DFT PBE-GGA
# **Total moment**: 0.000 μB per atom
# **Density of states at the Fermi level**: 1.590 states/eV/atom
data_Pr3Dy4Sc2
_chemical_formula_sum 'Pr12 Dy16 Sc8'
_space_group_name_H-M_alt 'C 1 2/c 1'
_space_group_IT_number 15
_space_group_name_Hall '-C 2yc'
_cell_length_a 16.200
_cell_length_b 11.589
_cell_length_c 6.050
_cell_angle_alpha 90.00
_cell_angle_beta 97.51
_cell_angle_gamma 90.00
loop_
_atom_site_label
_atom_site_fract_x
_atom_site_fract_y
_atom_site_fract_z
Pr1 0.000 0.118 0.250
Pr2 0.170 0.361 0.079
Dy1 0.059 0.374 0.532
Dy2 0.217 0.115 0.381
Sc1 0.105 0.127 0.804

***

Which of them is most stable? Easy: (w).

***

(w)
# Pr3Dy4Sc, relaxed, DFT PBE-GGA
# **Total moment**: 0.000 μB per atom
# **Density of states at the Fermi level**: 1.429 states/eV/atom
data_Pr3Dy4Sc
_chemical_formula_sum 'Pr6 Dy8 Sc2'
_space_group_name_H-M_alt 'I m m m'
_space_group_IT_number 71
_space_group_name_Hall '-I 2 2'
_cell_length_a 3.501
_cell_length_b 11.680
_cell_length_c 12.850
_cell_angle_alpha 90.00
_cell_angle_beta 90.00
_cell_angle_gamma 90.00
loop_
_atom_site_label
_atom_site_fract_x
_atom_site_fract_y
_atom_site_fract_z
Pr1 0.000 0.000 0.000
Pr2 0.000 0.500 0.239
Dy1 0.000 0.242 0.367
Sc1 0.000 0.000 0.500

***

(x)
# Pr3Dy4Sc, relaxed, DFT PBE-GGA
# **Total moment**: 0.000 μB per atom
# **Density of states at the Fermi level**: 1.735 states/eV/atom
data_Pr3Dy4Sc
_chemical_formula_sum 'Pr6 Dy8 Sc2'
_space_group_name_H-M_alt 'P m n 21'
_space_group_IT_number 31
_space_group_name_Hall 'P 2ac -2'
_cell_length_a 11.435
_cell_length_b 7.291
_cell_length_c 6.265
_cell_angle_alpha 90.00
_cell_angle_beta 90.00
_cell_angle_gamma 90.00
loop_
_atom_site_label
_atom_site_fract_x
_atom_site_fract_y
_atom_site_fract_z
Pr1 0.000 0.127 0.000
Pr2 0.250 0.124 0.333
Dy1 0.000 0.377 0.503
Dy2 0.000 0.623 0.000
Dy3 0.244 0.624 0.338
Sc1 0.000 0.869 0.496

***

Which of them is most stable? Easy: (x).

***

(w)
# Pr3DySc2, relaxed, DFT PBE-GGA
# **Total moment**: 0.000 μB per atom
# **Density of states at the Fermi level**: 1.797 states/eV/atom
data_Pr3DySc2
_chemical_formula_sum 'Pr12 Dy4 Sc8'
_space_group_name_H-M_alt 'C m c m'
_space_group_IT_number 63
_space_group_name_Hall '-C 2c 2'
_cell_length_a 14.602
_cell_length_b 9.847
_cell_length_c 5.549
_cell_angle_alpha 90.00
_cell_angle_beta 90.00
_cell_angle_gamma 90.00
loop_
_atom_site_label
_atom_site_fract_x
_atom_site_fract_y
_atom_site_fract_z
Pr1 0.000 0.093 0.250
Pr2 0.244 0.134 0.250
Dy1 0.000 0.279 0.750
Sc1 0.103 0.408 0.250

***

(x)
# Pr3DySc2, relaxed, DFT PBE-GGA
# **Total moment**: 0.000 μB per atom
# **Density of states at the Fermi level**: 1.591 states/eV/atom
data_Pr3DySc2
_chemical_formula_sum 'Pr6 Dy2 Sc4'
_space_group_name_H-M_alt 'P 1 21/m 1'
_space_group_IT_number 11
_space_group_name_Hall '-P 2yb'
_cell_length_a 9.533
_cell_length_b 3.494
_cell_length_c 11.441
_cell_angle_alpha 90.00
_cell_angle_beta 95.28
_cell_angle_gamma 90.00
loop_
_atom_site_label
_atom_site_fract_x
_atom_site_fract_y
_atom_site_fract_z
Pr1 0.072 0.250 0.124
Pr2 0.261 0.250 0.867
Pr3 0.398 0.250 0.607
Dy1 0.237 0.750 0.359
Sc1 0.076 0.750 0.617
Sc2 0.429 0.250 0.150

***

Which of them is most stable? Easy: (x).

***

(w)
# PrDy6Sc, relaxed, DFT PBE-GGA
# **Total moment**: 0.000 μB per atom
# **Density of states at the Fermi level**: 1.590 states/eV/atom
data_PrDy6Sc
_chemical_formula_sum 'Pr1 Dy6 Sc1'
_space_group_name_H-M_alt 'P 4/m m m'
_space_group_IT_number 123
_space_group_name_Hall '-P 4 2'
_cell_length_a 5.008
_cell_length_b 5.008
_cell_length_c 9.939
_cell_angle_alpha 90.00
_cell_angle_beta 90.00
_cell_angle_gamma 90.00
loop_
_atom_site_label
_atom_site_fract_x
_atom_site_fract_y
_atom_site_fract_z
Pr1 0.000 0.000 0.000
Dy1 0.000 0.500 0.258
Dy2 0.500 0.500 0.000
Dy3 0.500 0.500 0.500
Sc1 0.000 0.000 0.500

***

(x)
# PrDy6Sc, relaxed, DFT PBE-GGA
# **Total moment**: 0.000 μB per atom
# **Density of states at the Fermi level**: 1.634 states/eV/atom
data_PrDy6Sc
_chemical_formula_sum 'Pr2 Dy12 Sc2'
_space_group_name_H-M_alt 'C 1 2/m 1'
_space_group_IT_number 12
_space_group_name_Hall '-C 2y'
_cell_length_a 9.695
_cell_length_b 6.867
_cell_length_c 8.669
_cell_angle_alpha 90.00
_cell_angle_beta 107.39
_cell_angle_gamma 90.00
loop_
_atom_site_label
_atom_site_fract_x
_atom_site_fract_y
_atom_site_fract_z
Pr1 0.000 0.000 0.000
Dy1 0.138 0.500 0.439
Dy2 0.190 0.256 0.796
Sc1 0.000 0.000 0.500

***

Which of them is most stable? Easy: (w).